VASP calculation (PBE-GGA) on a relaxed structure of Li3Si2Rh3.

POSCAR file:
```
Li3Si2Rh3
1.0
4.077 0.000 0.000
0.000 4.245 0.000
0.000 0.000 5.773
Li Si Rh
3 2 3
Cartesian
2.038 2.123 1.458
2.038 2.123 4.315
0.000 2.123 0.000
0.000 0.000 1.506
0.000 0.000 4.266
0.000 2.123 2.886
2.038 0.000 0.000
2.038 0.000 2.886
```

Symmetry   Pmmm
Total magnetization   0.0000 μB per atom
Formation energy from raw total energies   -626 meV/atom